DFT (GGA-PBE) results for crystalline SrPdS at its relaxed geometry.

Structure (POSCAR):
```
SrPdS
1.0
-3.735 -1.482 1.774
3.967 -3.192 0.246
2.397 2.097 6.799
Sr Pd S
2 2 2
Cartesian
3.158 -1.064 4.325
-2.483 -1.885 2.638
2.288 -1.552 7.520
0.742 0.244 5.768
0.240 -0.938 3.725
4.572 -1.040 7.319
```

The formation energy without anion corrections is -114 kJ/mol of atoms. The total energy comes out at -4.851 eV/atom. The density of states at the Fermi level comes out at 0.00 states/eV/cell.

DFT (GGA-PBE) results for crystalline SrPdS4 at its relaxed geometry.

Structure (POSCAR):
```
SrPdS4
1.0
-0.691 -4.869 -0.689
5.646 -1.340 3.808
-8.918 -0.576 13.019
S Pd Sr
16 4 4
Cartesian
-2.183 -4.427 8.010
-6.187 -2.271 14.691
-1.991 -4.804 11.802
2.223 -4.514 1.447
-1.273 -3.905 4.731
-2.691 -2.881 11.408
2.364 -5.251 5.189
-9.403 -4.413 12.394
-4.890 -3.749 5.937
-1.781 -2.359 8.129
-5.837 -4.928 11.136
5.439 -2.373 3.744
0.926 -3.036 10.201
-1.974 -1.982 4.336
-6.328 -1.535 10.949
1.873 -1.858 5.002
3.073 -3.493 3.703
-7.037 -3.293 12.435
-2.232 -0.570 6.270
-1.041 -1.346 10.557
-4.671 -3.140 8.982
0.707 -3.645 7.156
-3.407 -1.499 14.010
0.134 -0.418 2.817
```

The formation energy without anion corrections is -64 kJ/mol of atoms. The total energy comes out at -4.561 eV/atom. The density of states at the Fermi level comes out at 3.08 states/eV/cell.

DFT (GGA-PBE) results for crystalline SrPdS at its relaxed geometry.

Structure (POSCAR):
```
SrPdS
1.0
8.042 0.000 0.000
0.000 7.869 0.000
0.000 0.000 4.902
S Sr Pd
4 4 4
Cartesian
4.021 0.000 2.451
0.000 0.000 0.000
4.021 3.935 2.451
0.000 3.935 0.000
2.011 5.902 1.225
2.010 1.967 3.676
6.032 5.902 1.225
6.031 1.967 3.676
4.021 1.967 1.126
4.021 5.902 3.775
0.000 1.967 1.325
8.042 5.902 3.577
```

The formation energy without anion corrections is -89 kJ/mol of atoms. The total energy comes out at -4.592 eV/atom. The density of states at the Fermi level comes out at 2.95 states/eV/cell.

DFT (GGA-PBE) results for crystalline SrPdS at its relaxed geometry.

Structure (POSCAR):
```
SrPdS
1.0
-3.756 -2.628 1.500
-0.372 -1.971 -4.386
3.844 -4.521 1.706
Sr Pd S
2 2 2
Cartesian
2.923 -4.643 -0.813
-1.144 -2.178 1.076
1.067 -2.460 -1.637
0.712 -4.361 1.900
-0.142 -4.560 -0.590
1.922 -2.261 0.853
```

The formation energy without anion corrections is -69 kJ/mol of atoms. The total energy comes out at -4.381 eV/atom. The density of states at the Fermi level comes out at 4.42 states/eV/cell.

DFT (GGA-PBE) results for crystalline SrPdS at its relaxed geometry.

Structure (POSCAR):
```
SrPdS
1.0
-3.311 -0.899 -3.585
4.772 -1.183 -0.675
-1.555 -8.281 3.512
Pd S Sr
2 2 2
Cartesian
-0.777 -4.140 1.756
0.000 0.000 0.000
-1.166 -6.211 2.634
-0.389 -2.070 0.878
-1.783 -7.204 0.019
1.689 -3.158 -0.767
```

The formation energy without anion corrections is -98 kJ/mol of atoms. The total energy comes out at -4.685 eV/atom. The density of states at the Fermi level comes out at 0.00 states/eV/cell.

DFT (GGA-PBE) results for crystalline SrPdS at its relaxed geometry.

Structure (POSCAR):
```
SrPdS
1.0
7.915 -0.002 -0.001
0.723 4.341 0.000
0.617 0.135 4.359
Sr Pd S
2 2 2
Cartesian
5.768 2.664 0.083
2.422 3.454 3.880
4.266 0.798 2.388
7.150 0.390 2.057
3.313 0.838 0.297
8.189 2.444 1.988
```

The formation energy without anion corrections is -117 kJ/mol of atoms. The total energy comes out at -4.877 eV/atom. The density of states at the Fermi level comes out at 0.00 states/eV/cell.

Among the records above, which one has the highest formation energy without anion corrections? SrPdS4

Among the records above, which one has the lowest formation energy without anion corrections? number 6

Which value of formation energy without anion corrections does entry 6 give? -117 kJ/mol of atoms